# 1
# BiSbPb2S5

BiSbPb2S5 after structural relaxation (PBE, the Alexandria database).

The structure in CIF format:
```
data_BiSbPb2S5
_chemical_formula_sum 'Bi4 Sb4 Pb8 S20'
_space_group_name_H-M_alt 'C m c 21'
_space_group_IT_number 36
_space_group_name_Hall 'C 2c -2'
_cell_length_a 4.109
_cell_length_b 17.615
_cell_length_c 13.828
_cell_angle_alpha 90.00
_cell_angle_beta 90.00
_cell_angle_gamma 90.00
loop_
_atom_site_label
_atom_site_fract_x
_atom_site_fract_y
_atom_site_fract_z
Bi1 0.000 0.222 0.000
Sb1 0.000 0.457 0.423
Pb1 0.000 0.104 0.627
Pb2 0.000 0.121 0.246
S1 0.000 0.062 0.049
S2 0.000 0.273 0.640
S3 0.000 0.321 0.364
S4 0.000 0.378 0.985
S5 0.000 0.493 0.741
```

Calculated values
- energy relative to the elements, uncorrected (eV/atom) = -0.3295

# 2
# Sc4BiPbS

Sc4BiPbS after structural relaxation (PBE, the Alexandria database).

The structure in CIF format:
```
data_Sc4BiPbS
_chemical_formula_sum 'Sc16 Bi4 Pb4 S4'
_space_group_name_H-M_alt 'C m c m'
_space_group_IT_number 63
_space_group_name_Hall '-C 2c 2'
_cell_length_a 6.698
_cell_length_b 15.334
_cell_length_c 6.735
_cell_angle_alpha 90.00
_cell_angle_beta 90.00
_cell_angle_gamma 90.00
loop_
_atom_site_label
_atom_site_fract_x
_atom_site_fract_y
_atom_site_fract_z
Sc1 0.000 0.086 0.250
Sc2 0.000 0.411 0.250
Sc3 0.250 0.250 0.000
Bi1 0.000 0.393 0.750
Pb1 0.000 0.108 0.750
S1 0.000 0.248 0.250
```

Calculated values
- energy relative to the elements, uncorrected (eV/atom) = -0.7716